No. 1
DFT (SCAN) results for a PBEsol-optimized structure of La2CrBiB.

The value obtained for the energy relative to the elements is -38.7 kJ per mole of atoms. Its crystal system is tetragonal. The density of states at the Fermi level is 2.25 states/eV per cell. The value obtained for the calculated total energy is -38.52 eV/atom.

a = 4.2593 Å, b = 5.3858 Å, c = 5.3858 Å
α = 90.00°, β = 90.00°, γ = 90.00°
Closest atoms and distances in Å follow each position.
Fractional positions:
Bi  0.5000  0.5000  0.5000  8 La 3.43, 4 Cr 3.81
Cr  0.5000  0.0000  0.0000  2 B 2.13
La  0.0000  0.0000  0.5000  2 B 2.69
La  0.0000  0.5000  0.0000  2 B 2.69
B  0.0000  0.0000  0.0000  2 Cr 2.13


No. 2
DFT (SCAN) results for a PBEsol-optimized structure of Ca2ZnAs.

The value obtained for the energy above the most stable polymorph in this dataset is 76.2 kJ/mol of formula units. The value obtained for the energy relative to the elements is -61.9 kJ per mole of atoms. Its crystal system is orthorhombic. The density of states at the Fermi level is 1.19 states/eV per cell. The value obtained for the calculated total energy is -13.90 eV/atom.

a = 3.9072 Å, b = 4.3677 Å, c = 6.4111 Å
α = 109.92°, β = 107.74°, γ = 90.00°
Closest atoms and distances in Å follow each position.
Fractional positions:
Ca  0.9928  0.9928  0.9856  4 Zn 3.00, 2 As 3.23
Ca  0.7554  0.2554  0.5107  4 As 2.99, 2 Zn 3.20
As  0.2018  0.7018  0.4037  2 Zn 2.61
Zn  0.5500  0.5500  0.1000  2 As 2.61


No. 3
DFT (SCAN) results for a PBEsol-optimized structure of KPb.

The value obtained for the energy above the most stable polymorph in this dataset is 40.8 kJ/mol of formula units. The value obtained for the energy relative to the elements is -18.6 kJ per mole of atoms. Its crystal system is trigonal. The density of states at the Fermi level is 1.33 states/eV per cell. The value obtained for the calculated total energy is -42.25 eV/atom.

a = 4.6458 Å, b = 4.6458 Å, c = 9.9970 Å
α = 90.00°, β = 90.00°, γ = 120.00°
Closest atoms and distances in Å follow each position.
Fractional positions:
K  0.3333  0.6667  0.1968  4 Pb 3.54-3.76
K  0.6667  0.3333  0.8032  4 Pb 3.54-3.76
Pb  0.6667  0.3333  0.4273  3 Pb 3.05
Pb  0.3333  0.6667  0.5727  3 Pb 3.05


No. 4
DFT (SCAN) results for a PBEsol-optimized structure of InTe2Pt.

Its crystal system is orthorhombic. The calculation puts the uncorrected formation energy at 165 meV per atom. The density of states at the Fermi level is 2.30 states/eV per cell. The value obtained for the calculated total energy is -44.36 eV/atom.

a = 3.4246 Å, b = 3.5031 Å, c = 7.8968 Å
α = 90.00°, β = 90.00°, γ = 90.00°
Closest atoms and distances in Å follow each position.
Fractional positions:
Pt  0.5000  0.5000  0.5000  8 Te 2.91
In  0.5000  0.5000  0.0000  8 Te 3.41, 4 In 3.42-3.50
Te  0.0000  0.0000  0.2999  4 Pt 2.91, 1 Te 3.16
Te  0.0000  0.0000  0.7001  4 Pt 2.91, 1 Te 3.16


No. 5
DFT (SCAN) results for a PBEsol-optimized structure of Zn2InGeIr.

The value obtained for the energy relative to the elements is 146.2 kJ per mole of atoms. Its crystal system is tetragonal. The density of states at the Fermi level is 3.94 states/eV per cell. The value obtained for the calculated total energy is -28.61 eV/atom.

a = 4.7225 Å, b = 4.7225 Å, c = 5.0369 Å
α = 90.00°, β = 90.00°, γ = 90.00°
Closest atoms and distances in Å follow each position.
Fractional positions:
Zn  0.5000  0.0000  0.0000  2 In 2.36
Zn  0.0000  0.5000  0.0000  2 In 2.36
Ge  0.0000  0.0000  0.5000  2 In 2.52
In  0.0000  0.0000  0.0000  4 Zn 2.36, 2 Ge 2.52
Ir  0.5000  0.5000  0.5000  4 Ge 3.34, 8 Zn 3.45


No. 6
DFT (SCAN) results for a PBEsol-optimized structure of Os2RuPb.

The value obtained for the energy relative to the elements is 112.6 kJ per mole of atoms. Its crystal system is orthorhombic. The density of states at the Fermi level is 4.00 states/eV per cell. The value obtained for the calculated total energy is -62.42 eV/atom.

a = 2.8071 Å, b = 2.8071 Å, c = 9.7812 Å
α = 90.00°, β = 90.00°, γ = 119.46°
Closest atoms and distances in Å follow each position.
Fractional positions:
Ru  0.5000  0.5000  0.0000  4 Os 2.58, 6 Ru 2.81-2.83
Os  0.0000  0.0000  0.7795  2 Ru 2.58, 6 Os 2.81-2.83
Os  0.0000  0.0000  0.2205  2 Ru 2.58, 6 Os 2.81-2.83
Pb  0.5000  0.5000  0.5000  6 Pb 2.81-2.83, 4 Os 3.08


No. 7
DFT (SCAN) results for a PBEsol-optimized structure of TiV3Cu2P6O24.

Its crystal system is trigonal. The calculation puts the uncorrected formation energy at -2409 meV per atom. The density of states at the Fermi level is 13.17 states/eV per cell. The value obtained for the calculated total energy is -11.04 eV/atom.

a = 8.5084 Å, b = 8.5084 Å, c = 8.4441 Å
α = 59.75°, β = 59.75°, γ = 60.00°
Closest atoms and distances in Å follow each position.
Fractional positions:
O  0.8078  0.9989  0.5673  1 P 1.53
O  0.4448  0.5823  0.7377  1 P 1.55
O  0.9128  0.0550  0.7649  1 P 1.55
O  0.7643  0.5578  0.2629  1 P 1.55
O  0.6260  0.8078  0.5673  1 P 1.53
O  0.8756  0.5038  0.9348  1 P 1.53
O  0.5024  0.3087  0.0649  1 P 1.53
O  0.9989  0.6260  0.5673  1 P 1.53
O  0.5823  0.2352  0.7377  1 P 1.55
O  0.2673  0.9128  0.7649  1 P 1.55
O  0.0550  0.2673  0.7649  1 P 1.55
O  0.9421  0.7376  0.2368  1 P 1.55
O  0.1879  0.0016  0.4320  1 P 1.54
O  0.0016  0.3785  0.4320  1 P 1.54
O  0.0836  0.9421  0.2368  1 P 1.55
O  0.6858  0.8756  0.9348  1 P 1.53
O  0.3087  0.1241  0.0649  1 P 1.53
O  0.5038  0.6858  0.9348  1 P 1.53
O  0.5578  0.4150  0.2629  1 P 1.55
O  0.7376  0.0836  0.2368  1 P 1.55
O  0.1241  0.5024  0.0649  1 P 1.53
O  0.4150  0.7643  0.2629  1 P 1.55
O  0.2352  0.4448  0.7377  1 P 1.55
O  0.3785  0.1879  0.4320  1 P 1.54
V  0.6402  0.6402  0.0794  6 O 1.87-1.95
V  0.8593  0.8593  0.4222  6 O 1.87-1.95
V  0.3596  0.3596  0.9211  6 O 1.89-1.95
Ti  0.1406  0.1406  0.5781  6 O 1.89-1.99
P  0.9601  0.5424  0.2481  4 O 1.53-1.55
P  0.2494  0.9601  0.2481  4 O 1.53-1.55
P  0.5424  0.2494  0.2481  4 O 1.53-1.55
P  0.0389  0.4626  0.7514  4 O 1.53-1.55
P  0.4626  0.7471  0.7514  4 O 1.53-1.55
P  0.7471  0.0389  0.7514  4 O 1.53-1.55
Cu  0.5003  0.5003  0.4991  6 O 2.21
Cu  0.0008  0.0008  0.9976  6 O 2.20-2.21


No. 8
DFT (SCAN) results for a PBEsol-optimized structure of NaCoC3.

The value obtained for the energy relative to the elements is 184.9 kJ per mole of atoms. Its crystal system is cubic. The density of states at the Fermi level is 2.92 states/eV per cell. The value obtained for the calculated total energy is -8.45 eV/atom.

a = 3.7649 Å, b = 3.7649 Å, c = 3.7649 Å
α = 90.00°, β = 90.00°, γ = 90.00°
Closest atoms and distances in Å follow each position.
Fractional positions:
C  0.5000  0.0000  0.0000  2 Co 1.88
C  0.0000  0.0000  0.5000  2 Co 1.88
C  0.0000  0.5000  0.0000  2 Co 1.88
Na  0.5000  0.5000  0.5000  12 C 2.66
Co  0.0000  0.0000  0.0000  6 C 1.88